[1]
Compound: ErHgSe2O8
Source: the Alexandria database
Functional: PBE-GGA
Structure: relaxed

The density of states at the Fermi level is 7.55 states/eV/cell. The total DFT energy (no corrections) comes out at -0.20134 hartree per atom. The value obtained for the formation energy without anion corrections is -1.187 eV per atom.

It has space group C2/m (No. 12), with a = 9.2302 Å, b = 5.8403 Å, c = 8.1502 Å, α = 90.00°, β = 94.07° and γ = 90.00°. The asymmetric unit holds Er at (0.0000, 0.0000, 0.0000), Hg at (0.0000, 0.0000, 0.5000), Se at (0.1581, 0.5000, 0.2246), O at (0.0517, 0.2669, 0.1950), O at (0.2229, 0.0000, 0.9209) and O at (0.2353, 0.5000, 0.4147).

[2]
Compound: SrPd5
Source: the Alexandria database
Functional: PBE-GGA
Structure: relaxed

The density of states at the Fermi level is 18.63 states/eV/cell. The total DFT energy (no corrections) comes out at -0.17675 hartree per atom.

It has space group C2/m (No. 12), with a = 5.0917 Å, b = 9.0545 Å, c = 4.9587 Å, α = 90.00°, β = 109.27° and γ = 90.00°. The asymmetric unit holds Sr at (0.0000, 0.0000, 0.0000), Pd at (0.0000, 0.1903, 0.5000), Pd at (0.0000, 0.3351, 0.0000) and Pd at (0.0000, 0.5000, 0.5000).

[3]
Compound: Sm5Tm2Sc
Source: the Alexandria database
Functional: PBE-GGA
Structure: relaxed

The density of states at the Fermi level is 54.31 states/eV/cell. The total DFT energy (no corrections) comes out at -0.17383 hartree per atom. Its relative energy among the computed polymorphs is 0.096 eV/atom.

It has space group Cmcm (No. 63), with a = 5.4941 Å, b = 11.7550 Å, c = 16.0191 Å, α = 90.00°, β = 90.00° and γ = 90.00°. The asymmetric unit holds Sm at (0.0000, 0.0302, 0.2500), Sm at (0.0000, 0.1199, 0.5514), Sm at (0.0000, 0.4244, 0.5942), Tm at (0.0000, 0.2731, 0.1379) and Sc at (0.0000, 0.2439, 0.7500).

Table of total magnetization (μB per cell), in record order: 0.6; 0.0; 0.0